No. 1
Compound: BaTlIr2
Source: Alexandria
Functional: GGA-PBE
Structure: relaxed

Unit cell a=4.3891 b=4.3891 c=19.5259 alpha=90.00 beta=90.00 gamma=120.00
Closest atoms and distances in Å follow each position.
Space group R3m (No. 160, hexagonal axes)
Symmetry-distinct sites (fractional):
Ba 0.0000 0.0000 0.0000 [3 per cell]  6 Ir 3.39-3.40, 3 Tl 3.67
Tl 0.0000 0.0000 0.8025 [3 per cell]  6 Ir 2.99-3.00
Ir 0.0000 0.0000 0.2177 [3 per cell]  3 Ir 2.53
Ir 0.0000 0.0000 0.5508 [3 per cell]  3 Ir 2.53

Output
Calculated volume   108.6 Å³/f.u.
Formation energy   -0.08 eV per atom
E   -5.5858 eV/atom
M_tot   0.04 μB per formula unit

=====

No. 2
Compound: ReSiTc
Source: Alexandria
Functional: GGA-PBE
Structure: relaxed

Unit cell a=4.9724 b=8.3509 c=8.3689 alpha=90.00 beta=90.00 gamma=90.00
Closest atoms and distances in Å follow each position.
Space group Cmce (No. 64)
Symmetry-distinct sites (fractional):
Re 0.0000 0.1463 0.0561 [8 per cell]  4 Si 2.42-2.58, 1 Re 2.62
Si 0.0000 0.1372 0.3638 [8 per cell]  4 Re 2.42-2.58, 4 Tc 2.52-2.70
Tc 0.2500 0.0990 0.7500 [8 per cell]  2 Tc 2.49, 4 Si 2.52-2.70

Output
Calculated volume   43.4 Å³/f.u.
Raw formation energy   -111 meV/atom
E   -9.5232 eV/atom
E above lowest polymorph   0.2054 eV/atom
M_tot   0.00 μB per formula unit

=====

No. 3
Compound: NaMgNb
Source: Alexandria
Functional: GGA-PBE
Structure: relaxed

Unit cell a=4.9348 b=3.4827 c=16.0438 alpha=90.00 beta=90.15 gamma=90.00
Closest atoms and distances in Å follow each position.
Space group Cm (No. 8)
Symmetry-distinct sites (fractional):
Na 0.0000 0.0000 0.0000 [2 per cell]  4 Na 3.02
Na 0.0092 0.5000 0.1991 [2 per cell]  4 Na 3.02
Mg 0.0132 0.5000 0.8169 [2 per cell]  2 Nb 3.00, 4 Mg 3.02
Mg 0.0157 0.0000 0.3822 [2 per cell]  2 Nb 3.00, 4 Mg 3.02
Nb 0.0154 0.5000 0.5342 [2 per cell]  6 Nb 2.73-3.02, 2 Mg 3.00
Nb 0.0164 0.0000 0.6649 [2 per cell]  6 Nb 2.73-3.02, 2 Mg 3.00

Output
Calculated volume   68.9 Å³/f.u.
Formation energy   0.18 eV per atom
E   -4.1502 eV/atom
E above lowest polymorph   0.0000 eV/atom
M_tot   0.00 μB per formula unit